VASP calculation (PBE) on an optimized crystal structure of TlCuSnAs2.

a = 4.8306 Å, b = 4.8306 Å, c = 5.2399 Å
α = 90.00°, β = 90.00°, γ = 90.00°
With the nearest neighbours (Å) after each atom.
Element x y z (fractional)
Tl  0.0000  0.0000  0.0000  2 Cu 2.62
Cu  0.0000  0.0000  0.5000  4 As 2.42, 2 Tl 2.62
Sn  0.5000  0.5000  0.0000  4 Tl 3.42, 8 As 3.56
As  0.0000  0.5000  0.5000  2 Cu 2.42
As  0.5000  0.0000  0.5000  2 Cu 2.42

Summary:
Energy relative to the elements in eV per atom: 0.3711
DFT total energy in eV per atom: -3.58

VASP calculation (PBE) on an optimized crystal structure of SrCu2As.

a = 5.6183 Å, b = 5.5074 Å, c = 4.3336 Å
α = 68.43°, β = 65.73°, γ = 45.84°
With the nearest neighbours (Å) after each atom.
Element x y z (fractional)
Sr  0.0000  0.0000  0.0000  4 Cu 2.81, 2 As 2.96
Cu  0.0000  0.5000  0.5000  2 As 2.81, 2 Sr 2.81, 2 Cu 2.96
Cu  0.5000  0.0000  0.0000  2 As 2.81, 2 Sr 2.81, 2 Cu 2.96
As  0.5000  0.5000  0.5000  4 Cu 2.81, 2 Sr 2.96

Summary:
Energy relative to the elements in eV per atom: 0.1529
DFT total energy in eV per atom: -3.48

VASP calculation (PBE) on an optimized crystal structure of SrCuAs2.

a = 4.5680 Å, b = 4.7157 Å, c = 4.6339 Å
α = 90.00°, β = 91.82°, γ = 90.00°
With the nearest neighbours (Å) after each atom.
Element x y z (fractional)
Sr  0.0000  0.0000  0.0000  8 As 3.16-3.48, 2 Cu 3.39
Cu  0.6723  0.5000  0.4057  4 As 2.33-2.56
As  0.1696  0.5000  0.5303  2 Cu 2.33-2.39
As  0.4815  0.0000  0.5049  2 Cu 2.56, 2 As 2.76

Summary:
Energy relative to the elements in eV per atom: -0.4314
DFT total energy in eV per atom: -4.20

VASP calculation (PBE) on an optimized crystal structure of SrCuAs2.

a = 5.9871 Å, b = 5.9871 Å, c = 4.7817 Å
α = 90.18°, β = 90.18°, γ = 39.40°
With the nearest neighbours (Å) after each atom.
Element x y z (fractional)
Sr  0.0000  0.0000  0.0000  6 As 3.17-3.27, 2 Cu 3.33
Cu  0.2056  0.2056  0.5012  4 As 2.36-2.45
As  0.5830  0.5830  0.5005  2 Cu 2.45, 1 As 2.61
As  0.8147  0.8147  0.4985  2 Cu 2.36, 1 As 2.61

Summary:
Energy relative to the elements in eV per atom: -0.4128
DFT total energy in eV per atom: -4.18